Compound: Dy3TmGa4
Source: Alexandria
Functional: GGA-PBE
Structure: optimized geometry

Unit cell a=3.5870 b=6.6962 c=9.0966 alpha=111.60 beta=101.37 gamma=90.00
With the nearest neighbours (Å) after each atom.
Positions (direct):
Dy 0.0000 0.5000 0.0000  8 Ga 3.07
Dy 0.2026 0.2024 0.4053  6 Ga 2.98-3.07
Dy 0.7974 0.7976 0.5947  6 Ga 2.98-3.07
Tm 0.5000 0.0000 0.0000  4 Ga 2.96
Ga 0.3711 0.5650 0.7422  1 Ga 2.60
Ga 0.6289 0.4350 0.2578  1 Ga 2.60
Ga 0.6288 0.8226 0.2576  1 Ga 2.60
Ga 0.3712 0.1774 0.7424  1 Ga 2.60

Calculated values
* magnetic moment: 0.000 μB per cell
* calculated formation energy: -0.46 eV per atom
* density of states at the Fermi level: 0.5387 states/eV/atom
* excess energy over the best structure of this formula in the dataset: 115.0 meV/atom
* energy: -34.086 eV/cell